# FeSbRhO6 PBE with a Hubbard U optimized geometry
# - magnetization (μB/f.u.) = 5.93
# - DOS at the Fermi energy (states/eV per cell) = 9.97
# - total DFT energy (no corrections) (eV/atom) = -6.323
data_FeSbRhO6
_chemical_formula_sum 'Fe2 Sb2 Rh2 O12'
_space_group_name_H-M_alt 'P -3 1 c'
_space_group_IT_number 163
_space_group_name_Hall '-P 3 2c'
_cell_length_a 5.1672
_cell_length_b 5.1672
_cell_length_c 8.7846
_cell_angle_alpha 90.00
_cell_angle_beta 90.00
_cell_angle_gamma 120.00
loop_
_atom_site_label
_atom_site_type_symbol
_atom_site_fract_x
_atom_site_fract_y
_atom_site_fract_z
_atom_site_occupancy
Fe1 Fe 0.0000 0.0000 0.0000 1
Sb1 Sb 0.3333 0.6667 0.2500 1
Rh1 Rh 0.3333 0.6667 0.7500 1
O1 O 0.0008 0.3398 0.6276 1